# Pm2DyPt2

A relaxed structure of Pm2DyPt2 (PBE-GGA, the Alexandria database).

abc: 7.8353 7.8353 4.0795
angles: 90.00 90.00 90.00
Last column: nearest neighbours and their distance in Å.
Space group P4/mbm (No. 127)
Inequivalent atoms, fractional coordinates:
Pm: 0.1631 0.3369 0.0000 [4 per cell]  6 Pt 3.00-3.13
Dy: 0.0000 0.0000 0.5000 [2 per cell]  4 Pt 3.04
Pt: 0.1380 0.6380 0.5000 [4 per cell]  6 Pm 3.00-3.13, 2 Dy 3.04, 1 Pt 3.06

total magnetization: 0.00 Bohr magnetons per cell
energy relative to the lowest polymorph listed for this composition: 0 meV/atom
calculated density: 11.17 g/cm3